# NaPuP2O8

A relaxed NaPuP2O8 crystal (GGA-PBE, Alexandria via LeMat-Bulk).

Computed properties:
Uncorrected formation energy: -2.351 eV per atom

Cell: 8.6365 5.5733 7.7495 Å, 90.00 93.32 90.00°
Space group C2/m (No. 12)
Inequivalent atoms, fractional coordinates:
1 Na 0.0000 0.0000 0.0000 x2
2 Pu 0.0000 0.0000 0.5000 x2
3 P 0.1590 0.5000 0.7260 x4
4 O 0.0517 0.2731 0.6975 x8
5 O 0.2335 0.0000 0.4336 x4
6 O 0.2468 0.5000 0.8970 x4